BaGaSbP2 (GGA-PBE, relaxed); polymorph energy (0 for the lowest one) = 0 meV per atom; ρ = 4.41 Mg/m³; formation energy (no corrections) = 0.11 eV per atom; space-group type = P4/mmm, No. 123; size of the total moment = 0.0 Bohr magnetons per cell
1.0
5.3283 0.0000 0.0000
0.0000 5.3283 0.0000
0.0000 0.0000 5.1783
Ba Ga Sb P
1 1 1 2
Direct
0.0000 0.0000 0.0000
0.5000 0.5000 0.0000
0.5000 0.5000 0.5000
0.0000 0.5000 0.5000
0.5000 0.0000 0.5000



AuS2N2 (GGA-PBE, relaxed); polymorph energy (0 for the lowest one) = 12 meV per atom; ρ = 4.35 Mg/m³; formation energy (no corrections) = 0.61 eV per atom; space-group type = P1, No. 1; size of the total moment = 0.0 Bohr magnetons per cell
1.0
3.1875 0.0000 0.0000
1.5701 4.7533 0.0000
0.0021 0.7143 7.2815
Au S N
1 2 2
Direct
0.0000 0.0000 0.0000
0.0338 0.9311 0.3123
0.8556 0.2929 0.5966
0.8770 0.2491 0.3778
0.9914 0.0176 0.7224



LaTlBr4 (GGA-PBE, relaxed); polymorph energy (0 for the lowest one) = 1222 meV per atom; ρ = 5.88 Mg/m³; formation energy (no corrections) = -0.39 eV per atom; space-group type = F-43m, No. 216; size of the total moment = 0.2 Bohr magnetons per cell
1.0
0.0000 4.5414 4.5414
4.5414 0.0000 4.5414
4.5414 4.5414 0.0000
La Tl Br
1 1 4
Direct
0.0000 0.0000 0.0000
0.7500 0.7500 0.7500
0.3747 0.3747 0.3747
0.3747 0.3747 0.8758
0.3747 0.8758 0.3747
0.8758 0.3747 0.3747



Tb2TmTi (GGA-PBE, relaxed); polymorph energy (0 for the lowest one) = 0 meV per atom; ρ = 8.13 Mg/m³; space-group type = P4/mmm, No. 123; energy of formation = 0.168 eV per atom; size of the total moment = 0.0 Bohr magnetons per cell
1.0
3.4121 0.0000 0.0000
0.0000 3.4121 0.0000
0.0000 0.0000 9.3854
Tb Tm Ti
2 1 1
Direct
0.0000 0.0000 0.2225
0.0000 0.0000 0.7775
0.5000 0.5000 0.5000
0.5000 0.5000 0.0000



> Look up the size of the total moment of the second one.

0.0 Bohr magnetons per cell



> Which value of ρ does entry 2 give?

4.35 Mg/m³